# Pr2ThIr2 (PBE, relaxed)
data_Pr2ThIr2
_chemical_formula_sum 'Pr2 Th1 Ir2'
_cell_length_a 3.958
_cell_length_b 6.308
_cell_length_c 6.304
_cell_angle_alpha 64.93
_cell_angle_beta 71.71
_cell_angle_gamma 71.72
_symmetry_space_group_name_H-M 'P 1'
_symmetry_Int_Tables_number 1
loop_
_symmetry_equiv_pos_as_xyz
'x,y,z'
loop_
_atom_site_label
_atom_site_fract_x
_atom_site_fract_y
_atom_site_fract_z
Ir1 0.000 0.792 0.709
Ir2 0.000 0.208 0.291
Pr1 0.691 0.809 0.309
Pr2 0.309 0.191 0.691
Th1 0.500 0.500 0.000
# **Space group**: No. 71
# **Energy of formation**: -673 meV/atom
# **Electronic total energy**: -38.06 eV for the cell shown
# **Crystal system**: orthorhombic
# **V**: 26.5 A^3/atom
# **DOS at the Fermi energy**: 0.745 states/eV/atom